First-principles (PBE) data for a relaxed Ac8CoIr3I3 crystal, as listed in Alexandria.

Unit cell a=10.0454 b=10.0454 c=10.0454 alpha=51.55 beta=51.55 gamma=51.55
With the nearest neighbours (Å) after each atom.
Element x y z (fractional)
Ac 0.2278 0.2278 0.2278  3 Ir 2.98
Ac 0.2330 0.7228 0.7228  1 Co 2.92, 2 Ir 2.98
Ac 0.2772 0.2772 0.7670  1 Co 2.92, 2 Ir 2.98
Ac 0.2772 0.7670 0.2772  1 Co 2.92, 2 Ir 2.98
Ac 0.7228 0.2330 0.7228  1 Co 2.92, 2 Ir 2.98
Ac 0.7228 0.7228 0.2330  1 Co 2.92, 2 Ir 2.98
Ac 0.7670 0.2772 0.2772  1 Co 2.92, 2 Ir 2.98
Ac 0.7722 0.7722 0.7722  3 Ir 2.98
Co 0.5000 0.5000 0.5000  6 Ac 2.92
Ir 0.0000 0.0000 0.5000  6 Ac 2.98
Ir 0.0000 0.5000 0.0000  6 Ac 2.98
Ir 0.5000 0.0000 0.0000  6 Ac 2.98
I 0.0000 0.5000 0.5000  6 Ac 3.73-3.75
I 0.5000 0.0000 0.5000  6 Ac 3.73-3.75
I 0.5000 0.5000 0.0000  6 Ac 3.73-3.75

The raw formation energy is -0.831 eV/atom.

First-principles (PBE) data for a relaxed TmPuMgSn crystal, as listed in Alexandria.

Unit cell a=7.4756 b=7.4756 c=7.4756 alpha=90.00 beta=90.00 gamma=90.00
With the nearest neighbours (Å) after each atom.
Element x y z (fractional)
Tm 0.0000 0.0000 0.0000  4 Sn 3.24, 4 Mg 3.24
Tm 0.0000 0.5000 0.5000  4 Sn 3.24, 4 Mg 3.24
Tm 0.5000 0.0000 0.5000  4 Sn 3.24, 4 Mg 3.24
Tm 0.5000 0.5000 0.0000  4 Sn 3.24, 4 Mg 3.24
Pu 0.0000 0.0000 0.5000  4 Sn 3.24, 4 Mg 3.24
Pu 0.0000 0.5000 0.0000  4 Sn 3.24, 4 Mg 3.24
Pu 0.5000 0.0000 0.0000  4 Sn 3.24, 4 Mg 3.24
Pu 0.5000 0.5000 0.5000  4 Sn 3.24, 4 Mg 3.24
Mg 0.2500 0.2500 0.2500  4 Tm 3.24, 4 Pu 3.24
Mg 0.2500 0.7500 0.7500  4 Tm 3.24, 4 Pu 3.24
Mg 0.7500 0.2500 0.7500  4 Tm 3.24, 4 Pu 3.24
Mg 0.7500 0.7500 0.2500  4 Tm 3.24, 4 Pu 3.24
Sn 0.2500 0.2500 0.7500  4 Tm 3.24, 4 Pu 3.24
Sn 0.2500 0.7500 0.2500  4 Tm 3.24, 4 Pu 3.24
Sn 0.7500 0.2500 0.2500  4 Tm 3.24, 4 Pu 3.24
Sn 0.7500 0.7500 0.7500  4 Tm 3.24, 4 Pu 3.24

For the energy of formation, the calculation gives -0.22 eV/atom.

First-principles (PBE) data for a relaxed AcPm12Pr3 crystal, as listed in Alexandria.

Unit cell a=5.2076 b=5.2076 c=20.8071 alpha=90.00 beta=90.00 gamma=90.00
With the nearest neighbours (Å) after each atom.
Element x y z (fractional)
Ac 0.0000 0.0000 0.0000  12 Pm 3.68-3.73
Pm 0.0000 0.5000 0.1285  2 Pr 3.65, 8 Pm 3.67-3.73, 2 Ac 3.73
Pm 0.0000 0.5000 0.3761  8 Pm 3.66-3.68, 4 Pr 3.66-3.67
Pm 0.0000 0.5000 0.6239  8 Pm 3.66-3.68, 4 Pr 3.66-3.67
Pm 0.0000 0.5000 0.8715  2 Pr 3.65, 8 Pm 3.67-3.73, 2 Ac 3.73
Pm 0.5000 0.0000 0.1285  2 Pr 3.65, 8 Pm 3.67-3.73, 2 Ac 3.73
Pm 0.5000 0.0000 0.3761  8 Pm 3.66-3.68, 4 Pr 3.66-3.67
Pm 0.5000 0.0000 0.6239  8 Pm 3.66-3.68, 4 Pr 3.66-3.67
Pm 0.5000 0.0000 0.8715  2 Pr 3.65, 8 Pm 3.67-3.73, 2 Ac 3.73
Pm 0.5000 0.5000 0.0000  4 Ac 3.68, 8 Pm 3.73
Pm 0.5000 0.5000 0.2526  8 Pm 3.66-3.67, 4 Pr 3.68
Pm 0.5000 0.5000 0.5000  8 Pm 3.66, 4 Pr 3.68
Pm 0.5000 0.5000 0.7474  8 Pm 3.66-3.67, 4 Pr 3.68
Pr 0.0000 0.0000 0.2518  12 Pm 3.65-3.68
Pr 0.0000 0.0000 0.5000  12 Pm 3.66-3.68
Pr 0.0000 0.0000 0.7482  12 Pm 3.65-3.68

For the energy of formation, the calculation gives 0.02 eV/atom.

Number 1: spin magnetization 0.000 μB/atom. Number 2: spin magnetization 1.598 μB/atom. Number 3: spin magnetization 0.000 μB/atom.